# 1
The following is a PBE calculation of a relaxed structure of LaPm7Er2, from Alexandria via LeMat-Bulk.

Calculated values
The calculation puts the density of states at the Fermi level at 1.3972 states/eV per atom. The energy above the most stable polymorph in this dataset comes out at 9 kJ/mol of formula units. As for the calculated volume: 41.62 Å³/atom. For the energy relative to the elements, the calculation gives 642 meV/atom.

The structure in POSCAR format:
```
LaPm7Er2
1.0
-0.513 -5.582 1.387
9.180 -0.842 0.008
-4.699 2.317 7.585
Pm Er La
7 2 1
Direct
0.500 0.703 0.938
0.500 0.297 0.062
0.500 0.062 0.297
0.000 0.771 0.229
0.000 0.229 0.771
0.500 0.500 0.500
0.500 0.938 0.703
0.500 0.704 0.296
0.500 0.296 0.704
0.000 0.000 0.000
```

---

# 2
The following is a PBE calculation of a relaxed structure of Sc2TcOs, from Alexandria via LeMat-Bulk.

Calculated values
The calculation puts the density of states at the Fermi level at 0.7209 states/eV per atom. As for the calculated volume: 16.82 Å³/atom. For the energy relative to the elements, the calculation gives -110 meV/atom.

The structure in POSCAR format:
```
Sc2TcOs
1.0
5.188 0.005 0.003
-1.927 4.817 0.003
0.632 0.935 2.692
Tc Os Sc
1 1 2
Direct
0.500 0.000 0.500
0.000 0.500 0.500
0.500 0.500 0.000
0.000 0.000 0.000
```

---

# 3
The following is a PBE calculation of a relaxed structure of Ce2PtI8, from Alexandria via LeMat-Bulk.

Calculated values
The calculation puts the density of states at the Fermi level at 1.0231 states/eV per atom. As for the calculated volume: 51.27 Å³/atom. The value obtained for the uncorrected formation energy is -1.0140 eV/atom.

The structure in POSCAR format:
```
Ce2PtI8
1.0
-7.245 2.229 -4.522
0.277 -5.946 6.440
-0.973 7.884 4.565
Ce I Pt
2 8 1
Direct
0.212 0.234 0.369
0.788 0.766 0.631
0.430 0.685 0.479
0.368 0.226 0.055
0.034 0.731 0.838
0.632 0.774 0.945
0.985 0.207 0.652
0.015 0.793 0.348
0.966 0.269 0.162
0.570 0.315 0.521
0.000 0.000 0.000
```

---

# 4
The following is a PBE calculation of a relaxed structure of AcH6Ir, from Alexandria via LeMat-Bulk.

Calculated values
The calculation puts the density of states at the Fermi level at 0.0000 states/eV per atom. The energy above the most stable polymorph in this dataset comes out at 88 kJ/mol of formula units. As for the calculated volume: 10.37 Å³/atom.

The structure in POSCAR format:
```
AcH6Ir
1.0
-0.908 3.470 2.581
-4.167 -1.122 -0.949
-0.960 -2.167 3.706
H Ir Ac
6 1 1
Direct
0.725 0.074 0.273
0.732 0.732 0.920
0.275 0.926 0.727
0.268 0.268 0.080
0.074 0.725 0.273
0.926 0.275 0.727
0.000 0.000 0.000
0.500 0.500 0.500
```

---

Number 1: uncorrected energy -0.150 Ha/atom. Number 2: uncorrected energy -0.319 Ha/atom. Number 3: uncorrected energy -0.139 Ha/atom. Number 4: uncorrected energy -0.168 Ha/atom.